# TbPd6

A relaxed structure of TbPd6 (PBE, Alexandria).

Lattice parameters (Å, degrees): 6.0332 6.0332 6.0332 109.47 109.47 109.47
With the nearest neighbours (Å) after each atom.
Sites, in units of the cell vectors:
Pd 0.5000 0.2500 0.7500  4 Pd 2.46
Pd 0.2500 0.7500 0.5000  4 Pd 2.46
Pd 0.2500 0.5000 0.7500  4 Pd 2.46
Pd 0.7500 0.2500 0.5000  4 Pd 2.46
Pd 0.5000 0.7500 0.2500  4 Pd 2.46
Pd 0.7500 0.5000 0.2500  4 Pd 2.46
Tb 0.0000 0.0000 0.0000  24 Pd 3.89

Properties
DOS(E_F) ... 13.67 states/eV/f.u.
SG ... Im-3m
Formation energy ... 386.8 kJ/mol of formula units
Energy ... -4.54 eV/atom